Below is crystalline Cs2PuCrCl6 at its relaxed geometry, with properties calculated at the GGA-PBE level.

Values from the calculation:
E_tot in eV/atom: -5.32
ΔE_f (raw) in kJ/mol of atoms: -158.9
Volume in A^3/atom: 33.52

abc: 6.728 7.585 7.585
angles: 120.00 90.00 90.00
Last column: magnetic moment on the atom in μB.
Sites, in units of the cell vectors:
Cs1 0.202 0.333 0.667  0.00
Cs2 0.798 0.667 0.333  0.00
Pu1 0.500 0.000 0.000  5.41
Cr1 0.000 0.000 0.000  3.98
Cl1 0.766 0.160 0.321  -0.01
Cl2 0.766 0.160 0.840  -0.01
Cl3 0.766 0.679 0.840  -0.01
Cl4 0.234 0.840 0.160  -0.01
Cl5 0.234 0.321 0.160  -0.01
Cl6 0.234 0.840 0.679  -0.01